Record 1
Crystalline LiAcMgF6 at its relaxed geometry, computed with PBE.

a = 5.283 Å, b = 5.287 Å, c = 5.287 Å
α = 120.00°, β = 90.00°, γ = 90.00°
Positions (direct):
Ac 0.000 0.333 0.667
F 0.283 0.342 0.305
F 0.283 0.695 0.037
F 0.283 0.963 0.658
F 0.717 0.695 0.658
F 0.717 0.963 0.305
F 0.717 0.342 0.037
Mg 0.500 0.667 0.333
Li 0.500 0.000 0.000

## Properties
- SG: P312
- Energy relative to the elements, uncorrected: -355.31 kJ per mole of atoms
- Electronic total energy: -5.78 eV per atom

---

Record 2
Crystalline Li3Ac2MgF12 at its relaxed geometry, computed with PBE.

a = 6.957 Å, b = 6.957 Å, c = 6.957 Å
α = 63.43°, β = 63.43°, γ = 63.43°
Site moments in Bohr magnetons follow the coordinates.
Positions (direct):
F 0.412 0.904 0.412  0.07
F 0.069 0.677 0.069  0.10
F 0.588 0.096 0.588  0.07
F 0.323 0.931 0.931  0.10
F 0.904 0.412 0.412  0.07
F 0.931 0.931 0.323  0.10
F 0.412 0.412 0.904  0.07
F 0.588 0.588 0.096  0.07
F 0.096 0.588 0.588  0.07
F 0.677 0.069 0.069  0.10
F 0.931 0.323 0.931  0.10
F 0.069 0.069 0.677  0.10
Li 0.000 0.500 0.000  0.00
Li 0.500 0.000 0.000  0.00
Li 0.000 0.000 0.500  0.00
Mg 0.000 0.000 0.000  0.00
Ac 0.339 0.339 0.339  0.00
Ac 0.661 0.661 0.661  0.00

## Properties
- SG: R-3m
- Energy relative to the elements, uncorrected: -310.05 kJ per mole of atoms
- Electronic total energy: -5.33 eV per atom

---

energy relative to the elements, uncorrected of number 2 (Li3Ac2MgF12)? -310.05 kJ per mole of atoms

---

Among the records above, which one has the lowest energy relative to the elements, uncorrected? LiAcMgF6

---

The lowest electronic total energy belongs to which entry? LiAcMgF6

---

energy relative to the elements, uncorrected of number 1 (LiAcMgF6)? -355.31 kJ per mole of atoms